An optimized crystal structure of MnBSF2. Source: the Alexandria database, functional PBE with a Hubbard U.

Cell lengths 3.3897, 3.3897, 6.1954 Å; angles 90.00, 90.00, 90.00 degrees
With the nearest neighbours (Å) after each atom.
Space group P4/mmm (No. 123)
One atom of each set of equivalent atoms:
1 Mn 0.0000 0.0000 0.0000  4 S 2.40
2 B 0.0000 0.0000 0.5000  4 F 1.69
3 S 0.5000 0.5000 0.0000  4 Mn 2.40
4 F 0.0000 0.5000 0.5000  2 B 1.69

## Properties
DFT total energy   -4.985 eV/atom
DOS at the Fermi energy   0.72 states/eV per cell